## 1
A geometry-optimized La2BePb structure, computed with PBE.

Cell and atoms, written as POSCAR:
```
La2BePb
1.0
9.470 -0.030 -0.018
8.669 3.812 -0.018
8.669 1.808 3.357
Pb La Be
1 2 1
direct
0.250 0.250 0.250 Pb
0.487 0.487 0.487 La
0.013 0.013 0.013 La
0.750 0.750 0.750 Be
```

The total magnetization is 0.001 μB/cell. For the volume, the calculation gives 122.7 Å³/cell.


## 2
A geometry-optimized La2BePb structure, computed with PBE.

Cell and atoms, written as POSCAR:
```
La2BePb
1.0
0.000 3.853 3.853
3.853 0.000 3.853
3.853 3.853 0.000
Pb La Be
1 2 1
direct
0.500 0.500 0.500 Pb
0.250 0.250 0.250 La
0.750 0.750 0.750 La
0.000 0.000 0.000 Be
```

The total magnetization is 0.000 μB/cell. For the volume, the calculation gives 114.4 Å³/cell.


Which one sits at the top of the stability order? 2 does.


## 1
A geometry-optimized La2BePb structure, computed with PBE.

Cell and atoms, written as POSCAR:
```
La2BePb
1.0
-2.052 -4.952 0.251
2.238 -3.978 -2.822
2.693 -3.895 2.525
La Be Pb
2 1 1
direct
0.000 0.000 0.000 La
0.250 0.250 0.250 La
0.500 0.500 0.500 Be
0.750 0.750 0.750 Pb
```

The total magnetization is 0.001 μB/cell. For the volume, the calculation gives 109.3 Å³/cell.


## 2
A geometry-optimized La2BePb structure, computed with PBE.

Cell and atoms, written as POSCAR:
```
La2BePb
1.0
6.222 -0.007 -0.001
4.885 3.854 -0.001
2.009 0.696 4.522
La Pb Be
2 1 1
direct
0.762 0.762 0.738 La
0.980 0.980 0.020 La
0.549 0.549 0.451 Pb
0.208 0.208 0.292 Be
```

The total magnetization is 0.000 μB/cell. For the volume, the calculation gives 108.6 Å³/cell.


## 3
A geometry-optimized La2BePb structure, computed with PBE.

Cell and atoms, written as POSCAR:
```
La2BePb
1.0
8.501 0.000 0.000
0.000 8.501 0.000
4.251 4.251 3.186
Pb La Be
2 4 2
direct
0.750 0.250 0.500 Pb
0.000 0.000 0.000 Pb
0.875 0.832 0.750 La
0.582 0.125 0.250 La
0.168 0.625 0.250 La
0.375 0.418 0.750 La
0.250 0.750 0.500 Be
0.500 0.500 0.000 Be
```

The total magnetization is 0.000 μB/cell. For the volume, the calculation gives 230.3 Å³/cell.


## 4
A geometry-optimized La2BePb structure, computed with PBE.

Cell and atoms, written as POSCAR:
```
La2BePb
1.0
4.306 0.000 0.000
0.000 4.628 0.003
0.000 2.312 5.874
Pb La Be
1 2 1
direct
0.000 0.689 0.498 Pb
0.500 0.273 0.330 La
0.000 0.981 0.912 La
0.500 0.557 0.761 Be
```

The total magnetization is 0.479 μB/cell. For the volume, the calculation gives 117.0 Å³/cell.


Which one sits at the top of the stability order? 4 does.


## 1
A geometry-optimized LaBePd structure, computed with PBE.

Cell and atoms, written as POSCAR:
```
LaBePd
1.0
4.361 0.000 0.000
0.000 4.151 0.000
0.000 2.075 7.450
La Pd Be
2 2 2
direct
0.250 0.353 0.295 La
0.750 0.647 0.705 La
0.750 0.864 0.272 Pd
0.250 0.136 0.728 Pd
0.500 0.000 0.000 Be
0.000 0.000 0.000 Be
```

The total magnetization is 0.000 μB/cell. For the volume, the calculation gives 134.8 Å³/cell.


## 2
A geometry-optimized LaBePd structure, computed with PBE.

Cell and atoms, written as POSCAR:
```
LaBePd
1.0
4.095 0.000 0.000
0.000 4.182 0.000
0.000 -2.091 3.622
Be La Pd
1 1 1
direct
0.167 0.667 0.333 Be
0.667 0.333 0.667 La
0.167 0.000 0.000 Pd
```

The total magnetization is 0.000 μB/cell. For the volume, the calculation gives 62.0 Å³/cell.


Which one sits at the top of the stability order? 2 does.


## 1
A geometry-optimized LaBe3Pd structure, computed with PBE.

Cell and atoms, written as POSCAR:
```
LaBe3Pd
1.0
4.793 0.000 0.000
0.000 4.793 0.000
0.000 0.000 4.793
Be La Pd
3 1 1
direct
0.000 0.500 0.000 Be
0.500 0.000 0.000 Be
0.000 0.000 0.500 Be
0.000 0.000 0.000 La
0.500 0.500 0.500 Pd
```

The total magnetization is 0.000 μB/cell. For the volume, the calculation gives 110.1 Å³/cell.


## 2
A geometry-optimized LaBe3Pd structure, computed with PBE.

Cell and atoms, written as POSCAR:
```
LaBe3Pd
1.0
4.369 0.000 0.000
0.000 4.369 0.000
0.000 0.000 4.369
Be La Pd
3 1 1
direct
0.500 0.000 0.000 Be
0.000 0.500 0.000 Be
0.000 0.000 0.500 Be
0.500 0.500 0.500 La
0.000 0.000 0.000 Pd
```

The total magnetization is 0.000 μB/cell. For the volume, the calculation gives 83.4 Å³/cell.


Which one sits at the top of the stability order? 2 does.


## 1
A geometry-optimized LaBe2Pd2 structure, computed with PBE.

Cell and atoms, written as POSCAR:
```
LaBe2Pd2
1.0
-0.774 -1.044 -3.888
-3.806 -1.100 1.054
-3.904 3.613 -2.354
La Be Pd
1 2 2
direct
0.000 0.000 0.000 La
0.250 0.750 0.500 Be
0.750 0.250 0.500 Be
0.358 0.358 0.285 Pd
0.642 0.642 0.715 Pd
```

The total magnetization is 0.000 μB/cell. For the volume, the calculation gives 84.8 Å³/cell.


## 2
A geometry-optimized LaBe2Pd2 structure, computed with PBE.

Cell and atoms, written as POSCAR:
```
LaBe2Pd2
1.0
4.113 0.000 0.000
0.000 4.113 0.000
0.000 0.000 9.858
Be Pd La
4 4 2
direct
0.750 0.750 0.118 Be
0.250 0.250 0.882 Be
0.750 0.250 0.500 Be
0.250 0.750 0.500 Be
0.250 0.750 0.000 Pd
0.250 0.250 0.620 Pd
0.750 0.250 0.000 Pd
0.750 0.750 0.380 Pd
0.750 0.750 0.747 La
0.250 0.250 0.253 La
```

The total magnetization is 0.000 μB/cell. For the volume, the calculation gives 166.8 Å³/cell.


## 3
A geometry-optimized LaBe2Pd2 structure, computed with PBE.

Cell and atoms, written as POSCAR:
```
LaBe2Pd2
1.0
-6.100 -0.526 -4.082
0.929 -7.286 -0.450
-1.589 -0.352 2.420
Pd Be La
4 4 2
direct
0.334 0.166 0.500 Pd
0.666 0.834 0.500 Pd
0.166 0.666 0.500 Pd
0.834 0.334 0.500 Pd
0.894 0.606 0.000 Be
0.106 0.394 0.000 Be
0.394 0.894 0.000 Be
0.606 0.106 0.000 Be
0.000 0.000 0.000 La
0.500 0.500 0.000 La
```

The total magnetization is 0.000 μB/cell. For the volume, the calculation gives 157.9 Å³/cell.


Which one sits at the top of the stability order? 2 does.


## 1
A geometry-optimized LaBeZnPd2 structure, computed with PBE.

Cell and atoms, written as POSCAR:
```
LaBeZnPd2
1.0
-2.318 -1.052 -3.811
2.991 -3.355 -0.893
-2.455 -2.791 2.264
La Pd Be Zn
1 2 1 1
direct
0.500 0.500 0.500 La
0.000 0.500 0.000 Pd
0.500 0.000 0.000 Pd
0.000 0.000 0.000 Be
0.000 0.000 0.500 Zn
```

The total magnetization is 0.000 μB/cell. For the volume, the calculation gives 91.4 Å³/cell.


## 2
A geometry-optimized LaBeZnPd2 structure, computed with PBE.

Cell and atoms, written as POSCAR:
```
LaBeZnPd2
1.0
4.687 0.000 0.000
0.000 5.512 0.000
0.000 0.000 4.687
La Pd Be Zn
1 2 1 1
direct
0.000 0.500 0.000 La
0.500 0.000 0.000 Pd
0.000 0.000 0.500 Pd
0.500 0.500 0.500 Be
0.000 0.000 0.000 Zn
```

The total magnetization is 0.000 μB/cell. For the volume, the calculation gives 121.1 Å³/cell.


Which one sits at the top of the stability order? 1 does.


## 1
A geometry-optimized LaPm2Be structure, computed with PBE.

Cell and atoms, written as POSCAR:
```
LaPm2Be
1.0
-3.075 -1.008 -1.522
1.550 -3.016 -1.135
-2.403 -4.078 7.556
Pm La Be
2 1 1
direct
0.000 0.000 0.186 Pm
0.000 0.000 0.814 Pm
0.500 0.500 0.500 La
0.500 0.500 0.000 Be
```

The total magnetization is 0.000 μB/cell. For the volume, the calculation gives 114.0 Å³/cell.


## 2
A geometry-optimized LaPm2Be structure, computed with PBE.

Cell and atoms, written as POSCAR:
```
LaPm2Be
1.0
3.544 0.000 0.000
1.772 3.069 0.000
1.772 1.023 11.690
Pm Be La
2 1 1
direct
0.083 0.083 0.750 Pm
0.917 0.917 0.250 Pm
0.000 0.000 0.000 Be
0.500 0.500 0.500 La
```

The total magnetization is 0.001 μB/cell. For the volume, the calculation gives 127.1 Å³/cell.


Which one sits at the top of the stability order? 1 does.


## 1
A geometry-optimized LaPr2Be structure, computed with PBE.

Cell and atoms, written as POSCAR:
```
LaPr2Be
1.0
3.578 0.000 0.000
1.789 3.098 0.000
1.789 1.033 11.831
La Be Pr
1 1 2
direct
0.500 0.500 0.500 La
0.000 0.000 0.000 Be
0.917 0.917 0.249 Pr
0.083 0.083 0.751 Pr
```

The total magnetization is 0.000 μB/cell. For the volume, the calculation gives 131.1 Å³/cell.


## 2
A geometry-optimized LaPr2Be structure, computed with PBE.

Cell and atoms, written as POSCAR:
```
LaPr2Be
1.0
3.632 0.000 0.000
0.000 3.632 0.000
0.000 0.000 8.947
Pr La Be
2 1 1
direct
0.000 0.000 0.812 Pr
0.000 0.000 0.188 Pr
0.500 0.500 0.500 La
0.500 0.500 0.000 Be
```

The total magnetization is 0.000 μB/cell. For the volume, the calculation gives 118.0 Å³/cell.


Which one sits at the top of the stability order? 2 does.